[1]
Crystalline Nd3Se2S at its relaxed geometry, computed with PBE-GGA.

Computed properties:
The total energy is -6.129 eV per atom. The value obtained for the magnetic moment is 0.00 μB per cell. The calculation puts the raw formation energy at -1.90 eV per atom. The value obtained for the energy above the most stable polymorph in this dataset is 0.000 eV per atom.

Structure (extended XYZ):
```
6
Lattice="-2.085 2.948 6.300 2.085 -2.948 6.300 2.085 2.948 -6.300" Properties=species:S:1:pos:R:3 pbc="T T T"
Nd 0.000 0.000 0.000
Nd 0.000 0.000 4.369
Nd 0.000 0.000 8.231
Se 2.085 0.000 2.160
Se 0.000 2.948 4.139
S 0.000 2.948 0.000
```

***

[2]
Crystalline Sc2HgSb2 at its relaxed geometry, computed with PBE-GGA.

Computed properties:
The total energy is -4.655 eV per atom. The value obtained for the magnetic moment is 0.00 μB per cell. The calculation puts the raw formation energy at -0.41 eV per atom. The value obtained for the energy above the most stable polymorph in this dataset is 0.206 eV per atom.

Structure (extended XYZ):
```
5
Lattice="-2.558 2.558 5.640 2.558 -2.558 5.640 2.558 2.558 -5.640" Properties=species:S:1:pos:R:3 pbc="T T T"
Sc 2.558 0.000 2.820
Sc 0.000 2.558 2.820
Hg 0.000 0.000 0.000
Sb 0.000 0.000 4.136
Sb 0.000 0.000 7.144
```

***

[3]
Crystalline NbGaBi2Ir at its relaxed geometry, computed with PBE-GGA.

Computed properties:
The total energy is -5.111 eV per atom. The value obtained for the magnetic moment is 1.91 μB per cell. The energy of formation comes out at 402 kJ/mol of formula units.

Structure (extended XYZ):
```
5
Lattice="5.424 0.000 0.000 0.000 5.424 0.000 0.000 0.000 4.966" Properties=species:S:1:pos:R:3 pbc="T T T"
Nb 0.000 0.000 0.000
Ga 2.712 2.712 0.000
Bi 0.000 2.712 2.483
Bi 2.712 0.000 2.483
Ir 0.000 0.000 2.483
```

***

[4]
Crystalline BaSmSi4 at its relaxed geometry, computed with PBE-GGA.

Computed properties:
The total energy is -5.124 eV per atom. The value obtained for the magnetic moment is 0.00 μB per cell. The calculation puts the raw formation energy at -0.40 eV per atom.

Structure (extended XYZ):
```
24
Lattice="7.931 0.000 0.000 0.000 15.809 0.000 0.000 0.000 4.546" Properties=species:S:1:pos:R:3 pbc="T T T"
Ba 0.981 2.403 0.000
Ba 2.984 10.308 0.000
Ba 4.947 5.501 0.000
Ba 6.950 13.406 0.000
Sm 1.040 6.514 0.000
Sm 2.925 14.418 0.000
Sm 5.006 1.391 0.000
Sm 6.891 9.295 0.000
Si 0.201 10.955 2.273
Si 0.971 8.617 2.273
Si 1.002 15.116 2.273
Si 1.750 12.761 2.273
Si 2.215 4.856 2.273
Si 2.963 7.211 2.273
Si 2.995 0.712 2.273
Si 3.765 3.051 2.273
Si 4.166 12.758 2.273
Si 4.936 15.097 2.273
Si 4.968 8.598 2.273
Si 5.716 10.953 2.273
Si 6.181 3.048 2.273
Si 6.928 0.693 2.273
Si 6.960 7.192 2.273
Si 7.730 4.854 2.273
```

***

[5]
Crystalline LaCe2Ir at its relaxed geometry, computed with PBE-GGA.

Computed properties:
The total energy is -6.556 eV per atom. The value obtained for the magnetic moment is 1.90 μB per cell. The energy of formation comes out at -55 kJ/mol of formula units. The value obtained for the energy above the most stable polymorph in this dataset is 0.280 eV per atom.

Structure (extended XYZ):
```
4
Lattice="1.919 1.108 9.984 -1.919 1.108 9.984 0.000 -2.215 9.984" Properties=species:S:1:pos:R:3 pbc="T T T"
La 0.000 0.000 0.000
Ce 0.000 0.000 3.304
Ce 0.000 0.000 26.648
Ir 0.000 0.000 14.976
```

***

[6]
Crystalline HgPb2Br at its relaxed geometry, computed with PBE-GGA.

Computed properties:
The total energy is -2.498 eV per atom. The value obtained for the magnetic moment is 0.00 μB per cell. The calculation puts the raw formation energy at -0.15 eV per atom. The value obtained for the energy above the most stable polymorph in this dataset is 0.052 eV per atom.

Structure (extended XYZ):
```
4
Lattice="1.952 -3.029 0.000 1.952 3.029 0.000 0.000 0.000 10.081" Properties=species:S:1:pos:R:3 pbc="T T T"
Hg 0.000 0.000 0.000
Pb 1.952 0.000 2.535
Pb 1.952 0.000 7.546
Br 0.000 0.000 5.040
```

***

> Look up the total energy of the sixth one.

-2.498 eV per atom

***

Copy entry 5 word for word.
Crystalline LaCe2Ir at its relaxed geometry, computed with PBE-GGA.

Computed properties:
The total energy is -6.556 eV per atom. The value obtained for the magnetic moment is 1.90 μB per cell. The energy of formation comes out at -55 kJ/mol of formula units. The value obtained for the energy above the most stable polymorph in this dataset is 0.280 eV per atom.

Structure (extended XYZ):
```
4
Lattice="1.919 1.108 9.984 -1.919 1.108 9.984 0.000 -2.215 9.984" Properties=species:S:1:pos:R:3 pbc="T T T"
La 0.000 0.000 0.000
Ce 0.000 0.000 3.304
Ce 0.000 0.000 26.648
Ir 0.000 0.000 14.976
```

***

> Number 2 is which compound?

Sc2HgSb2